Computed, not measured: a geometry-optimized RbHgNO2 structure at the PBE-GGA level of DFT.

Lattice parameters (Å, degrees): 4.462 4.462 4.454 90.00 90.00 90.00
Positions (direct):
Rb: 0.000 0.000 0.000
Hg: 0.500 0.500 0.500
N: 0.500 0.500 0.000
O: 0.000 0.500 0.500
O: 0.500 0.000 0.500

## Properties
The uncorrected formation energy is 0.60 eV per atom. The space-group type is No. 123. As for the volume: 88.7 Å³/cell. The calculation puts the density at 6.22 g/cm3. For the magnetic moment, the calculation gives 0.55 μB/atom. The total DFT energy (no corrections) is -3.31 eV/atom.